Compound: ThGa4NiPd2
Source: the Alexandria database
Functional: PBE
Structure: relaxed

a b c (Å): 4.2849 4.2849 9.0519
angles (deg): 76.31 76.31 60.00
With the nearest neighbours (Å) after each atom.
Fractional coordinates of all 8 atoms:
Th 0.0000 0.0000 0.0000  6 Ga 3.08
Ga 0.8655 0.8655 0.4034  3 Ni 2.61, 4 Pd 2.68-2.71
Ga 0.1345 0.1345 0.5966  3 Ni 2.61, 4 Pd 2.68-2.71
Ga 0.5966 0.5966 0.2103  1 Ni 2.52, 3 Pd 2.56
Ga 0.4034 0.4034 0.7897  1 Ni 2.52, 3 Pd 2.56
Ni 0.5000 0.5000 0.5000  8 Ga 2.52-2.61
Pd 0.7619 0.7619 0.7143  7 Ga 2.56-2.71
Pd 0.2381 0.2381 0.2857  7 Ga 2.56-2.71

Output
crystal system = trigonal
formation enthalpy at 0 K = -4.499 eV per formula unit

Compound: TmAsS3
Source: the Alexandria database
Functional: PBE
Structure: relaxed

a b c (Å): 3.7861 9.9415 13.8237
angles (deg): 90.00 90.00 90.00
With the nearest neighbours (Å) after each atom.
Fractional coordinates of all 20 atoms:
S 0.2500 0.3438 0.5238  1 As 2.29
S 0.7500 0.3273 0.3067  2 As 2.44
S 0.7500 0.8273 0.1933  2 As 2.44
S 0.2500 0.1727 0.8067  2 As 2.44
S 0.7500 0.4909 0.8852  3 Tm 2.60-2.64
S 0.7500 0.6562 0.4762  1 As 2.29
S 0.2500 0.0091 0.3852  3 Tm 2.60-2.64
S 0.7500 0.9909 0.6148  3 Tm 2.60-2.64
S 0.2500 0.8438 0.9762  1 As 2.29
S 0.2500 0.6727 0.6933  2 As 2.44
S 0.2500 0.5091 0.1148  3 Tm 2.60-2.64
S 0.7500 0.1562 0.0238  1 As 2.29
Tm 0.7500 0.1524 0.4628  6 S 2.60-2.81
Tm 0.2500 0.3476 0.9628  6 S 2.60-2.81
Tm 0.7500 0.6524 0.0372  6 S 2.60-2.81
Tm 0.2500 0.8476 0.5372  6 S 2.60-2.81
As 0.7500 0.0522 0.8758  3 S 2.29-2.44
As 0.2500 0.4478 0.3758  3 S 2.29-2.44
As 0.2500 0.9478 0.1242  3 S 2.29-2.44
As 0.7500 0.5522 0.6242  3 S 2.29-2.44

Output
crystal system = orthorhombic
energy above the lowest structure with this stoichiometry = 0 meV per atom

Compound: MgTaOs2
Source: the Alexandria database
Functional: PBE
Structure: relaxed

a b c (Å): 7.2185 7.2185 5.7971
angles (deg): 51.49 51.49 90.00
With the nearest neighbours (Å) after each atom.
Fractional coordinates of all 8 atoms:
Os 0.0971 0.6250 0.2500  2 Ta 2.51, 2 Os 2.78, 2 Mg 2.78
Os 0.6529 0.1250 0.2500  2 Ta 2.51, 2 Os 2.78, 2 Mg 2.78
Os 0.8750 0.9029 0.7500  2 Ta 2.51, 2 Os 2.78, 2 Mg 2.78
Os 0.3750 0.3471 0.7500  2 Ta 2.51, 2 Os 2.78, 2 Mg 2.78
Ta 0.7500 0.2500 0.5000  4 Os 2.51, 2 Mg 2.75
Ta 0.0000 0.0000 0.0000  4 Os 2.51, 2 Mg 2.75
Mg 0.2500 0.7500 0.5000  2 Ta 2.75, 4 Os 2.78
Mg 0.5000 0.5000 0.0000  2 Ta 2.75, 4 Os 2.78

Output
crystal system = tetragonal
formation enthalpy at 0 K = 2.698 eV per formula unit

Compound: CSe4
Source: the Alexandria database
Functional: PBE
Structure: relaxed

a b c (Å): 4.9932 4.9932 4.9932
angles (deg): 109.47 109.47 109.47
With the nearest neighbours (Å) after each atom.
Fractional coordinates of all 5 atoms:
C 0.0000 0.0000 0.0000  8 Se 2.50
Se 0.0000 0.0000 0.5000  2 C 2.50
Se 0.0000 0.5000 0.0000  2 C 2.50
Se 0.5000 0.0000 0.0000  2 C 2.50
Se 0.5000 0.5000 0.5000  2 C 2.50

Output
crystal system = cubic
energy above the lowest structure with this stoichiometry = 0 meV per atom

Compound: ZrSbTe3
Source: the Alexandria database
Functional: PBE
Structure: relaxed

a b c (Å): 5.6203 5.6203 5.6203
angles (deg): 90.00 90.00 90.00
With the nearest neighbours (Å) after each atom.
Fractional coordinates of all 5 atoms:
Te 0.5000 0.0000 0.0000  2 Sb 2.81
Te 0.0000 0.5000 0.0000  2 Sb 2.81
Te 0.0000 0.0000 0.5000  2 Sb 2.81
Sb 0.0000 0.0000 0.0000  6 Te 2.81
Zr 0.5000 0.5000 0.5000  12 Te 3.97

Output
crystal system = cubic
energy above the lowest structure with this stoichiometry = 581 meV per atom

Compound: Mg2BeCd
Source: the Alexandria database
Functional: PBE
Structure: relaxed

a b c (Å): 9.3014 9.3014 9.3014
angles (deg): 19.28 19.28 19.28
With the nearest neighbours (Å) after each atom.
Fractional coordinates of all 4 atoms:
Mg 0.9863 0.9863 0.9863  3 Be 2.62
Mg 0.5137 0.5137 0.5137  3 Be 2.62
Be 0.2500 0.2500 0.2500  6 Mg 2.62
Cd 0.7500 0.7500 0.7500  6 Cd 3.11, 6 Mg 3.21

Output
crystal system = trigonal
formation enthalpy at 0 K = 0.993 eV per formula unit
energy above the lowest structure with this stoichiometry = 99 meV per atom

The calculated total energy results, record by record, are as follows: -5.024; -5.339; -8.302; -3.421; -3.755; -1.709 eV per atom.
The spin magnetization results, record by record, are as follows: 0.000; 0.000; 0.000; 0.000; 0.224; 0.000 μB per atom.